1.
Density functional theory data (GGA-PBEsol) for crystalline SrLi2As2 at its relaxed geometry.

The structure in CIF format:
```
data_SrLi2As2
_symmetry_space_group_name_H-M 'I 4/m m m'
_symmetry_Int_Tables_number 139
_symmetry_space_group_name_Hall '-I 4 2'
_cell_length_a 4.305
_cell_length_b 4.305
_cell_length_c 10.775
_cell_angle_alpha 90.00
_cell_angle_beta 90.00
_cell_angle_gamma 90.00
loop_
_atom_site_label
_atom_site_type_symbol
_atom_site_fract_x
_atom_site_fract_y
_atom_site_fract_z
_atom_site_occupancy
Sr1 Sr 0.000 0.000 0.000 1
Li1 Li 0.000 0.500 0.250 1
As1 As 0.000 0.000 0.383 1
```

Calculated values
* magnetic moment: 0.000 μB per atom
* uncorrected energy: -20.3 eV/f.u.
* DOS(E_F): 0.15 states/eV per atom



2.
Density functional theory data (GGA-PBEsol) for crystalline SrC3 at its relaxed geometry.

The structure in CIF format:
```
data_SrC3
_symmetry_space_group_name_H-M 'P 4/m m m'
_symmetry_Int_Tables_number 123
_symmetry_space_group_name_Hall '-P 4 2'
_cell_length_a 3.136
_cell_length_b 3.136
_cell_length_c 5.080
_cell_angle_alpha 90.00
_cell_angle_beta 90.00
_cell_angle_gamma 90.00
loop_
_atom_site_label
_atom_site_type_symbol
_atom_site_fract_x
_atom_site_fract_y
_atom_site_fract_z
_atom_site_occupancy
Sr1 Sr 0.000 0.000 0.000 1
C1 C 0.000 0.000 0.500 1
C2 C 0.500 0.500 0.369 1
```

Calculated values
* magnetic moment: 0.000 μB per atom
* uncorrected energy: -23.6 eV/f.u.
* DOS(E_F): 0.07 states/eV per atom